<P>
VASP calculation (PBE) on a geometry-optimized Gd2YPu structure.

As for the total magnetization: 21.60 μB/f.u.

Cell and atoms, written as CIF:
```
data_Gd2YPu
_chemical_formula_sum 'Gd8 Y4 Pu4'
_space_group_name_H-M_alt 'F m -3 m'
_space_group_IT_number 225
_space_group_name_Hall '-F 4 2 3'
_cell_length_a 7.9543
_cell_length_b 7.9543
_cell_length_c 7.9543
_cell_angle_alpha 90.00
_cell_angle_beta 90.00
_cell_angle_gamma 90.00
loop_
_atom_site_label
_atom_site_fract_x
_atom_site_fract_y
_atom_site_fract_z
Gd1 0.2500 0.2500 0.2500
Y1 0.0000 0.0000 0.0000
Pu1 0.0000 0.0000 0.5000
```

<Q>
VASP calculation (PBE) on a geometry-optimized Gd2YPu structure.

As for the total magnetization: 21.56 μB/f.u.

Cell and atoms, written as CIF:
```
data_Gd2YPu
_chemical_formula_sum 'Gd2 Y1 Pu1'
_space_group_name_H-M_alt 'P 4/m m m'
_space_group_IT_number 123
_space_group_name_Hall '-P 4 2'
_cell_length_a 5.0475
_cell_length_b 5.0475
_cell_length_c 4.9236
_cell_angle_alpha 90.00
_cell_angle_beta 90.00
_cell_angle_gamma 90.00
loop_
_atom_site_label
_atom_site_fract_x
_atom_site_fract_y
_atom_site_fract_z
Gd1 0.0000 0.5000 0.0000
Y1 0.0000 0.0000 0.5000
Pu1 0.5000 0.5000 0.5000
```

The structure with the least stability is <P>.

<P>
VASP calculation (PBE) on a geometry-optimized GdPuZr structure.

As for the total magnetization: 1.96 μB/f.u.

Cell and atoms, written as CIF:
```
data_GdPuZr
_chemical_formula_sum 'Gd1 Pu1 Zr1'
_space_group_name_H-M_alt 'P -6 m 2'
_space_group_IT_number 187
_space_group_name_Hall 'P -6 2'
_cell_length_a 5.3640
_cell_length_b 5.3640
_cell_length_c 3.1197
_cell_angle_alpha 90.00
_cell_angle_beta 90.00
_cell_angle_gamma 120.00
loop_
_atom_site_label
_atom_site_fract_x
_atom_site_fract_y
_atom_site_fract_z
Gd1 0.0000 0.0000 0.0000
Pu1 0.3333 0.6667 0.0000
Zr1 0.6667 0.3333 0.5000
```

<Q>
VASP calculation (PBE) on a geometry-optimized GdPuZr structure.

As for the total magnetization: 12.96 μB/f.u.

Cell and atoms, written as CIF:
```
data_GdPuZr
_chemical_formula_sum 'Gd2 Pu2 Zr2'
_space_group_name_H-M_alt 'I 4 m m'
_space_group_IT_number 107
_space_group_name_Hall 'I 4 -2'
_cell_length_a 3.3352
_cell_length_b 3.3352
_cell_length_c 14.4926
_cell_angle_alpha 90.00
_cell_angle_beta 90.00
_cell_angle_gamma 90.00
loop_
_atom_site_label
_atom_site_fract_x
_atom_site_fract_y
_atom_site_fract_z
Gd1 0.0000 0.0000 0.0000
Pu1 0.0000 0.0000 0.3173
Zr1 0.0000 0.0000 0.6659
```

The structure with the least stability is <P>.

<P>
VASP calculation (PBE) on a geometry-optimized GdSc2Re structure.

As for the total magnetization: 6.96 μB/f.u.

Cell and atoms, written as CIF:
```
data_GdSc2Re
_chemical_formula_sum 'Gd3 Sc6 Re3'
_space_group_name_H-M_alt 'R -3 m'
_space_group_IT_number 166
_space_group_name_Hall '-R 3 2"'
_cell_length_a 3.0749
_cell_length_b 3.0749
_cell_length_c 32.3677
_cell_angle_alpha 90.00
_cell_angle_beta 90.00
_cell_angle_gamma 120.00
loop_
_atom_site_label
_atom_site_fract_x
_atom_site_fract_y
_atom_site_fract_z
Gd1 0.0000 0.0000 0.0000
Sc1 0.0000 0.0000 0.4215
Re1 0.0000 0.0000 0.5000
```

<Q>
VASP calculation (PBE) on a geometry-optimized GdSc2Re structure.

As for the total magnetization: 7.76 μB/f.u.

Cell and atoms, written as CIF:
```
data_GdSc2Re
_chemical_formula_sum 'Gd1 Sc2 Re1'
_space_group_name_H-M_alt 'P 4/m m m'
_space_group_IT_number 123
_space_group_name_Hall '-P 4 2'
_cell_length_a 3.2967
_cell_length_b 3.2967
_cell_length_c 8.5324
_cell_angle_alpha 90.00
_cell_angle_beta 90.00
_cell_angle_gamma 90.00
loop_
_atom_site_label
_atom_site_fract_x
_atom_site_fract_y
_atom_site_fract_z
Gd1 0.0000 0.0000 0.0000
Sc1 0.5000 0.5000 0.3196
Re1 0.0000 0.0000 0.5000
```

The structure with the least stability is <P>.

<P>
VASP calculation (PBE) on a geometry-optimized GdScRh2 structure.

As for the total magnetization: 7.07 μB/f.u.

Cell and atoms, written as CIF:
```
data_GdScRh2
_chemical_formula_sum 'Gd1 Sc1 Rh2'
_space_group_name_H-M_alt 'P 4/m m m'
_space_group_IT_number 123
_space_group_name_Hall '-P 4 2'
_cell_length_a 3.2756
_cell_length_b 3.2756
_cell_length_c 6.9737
_cell_angle_alpha 90.00
_cell_angle_beta 90.00
_cell_angle_gamma 90.00
loop_
_atom_site_label
_atom_site_fract_x
_atom_site_fract_y
_atom_site_fract_z
Gd1 0.0000 0.0000 0.0000
Sc1 0.0000 0.0000 0.5000
Rh1 0.5000 0.5000 0.2721
```

<Q>
VASP calculation (PBE) on a geometry-optimized GdScRh2 structure.

As for the total magnetization: 7.05 μB/f.u.

Cell and atoms, written as CIF:
```
data_GdScRh2
_chemical_formula_sum 'Gd4 Sc4 Rh8'
_space_group_name_H-M_alt 'F m -3 m'
_space_group_IT_number 225
_space_group_name_Hall '-F 4 2 3'
_cell_length_a 6.7008
_cell_length_b 6.7008
_cell_length_c 6.7008
_cell_angle_alpha 90.00
_cell_angle_beta 90.00
_cell_angle_gamma 90.00
loop_
_atom_site_label
_atom_site_fract_x
_atom_site_fract_y
_atom_site_fract_z
Gd1 0.0000 0.0000 0.0000
Sc1 0.0000 0.0000 0.5000
Rh1 0.2500 0.2500 0.2500
```

The structure with the least stability is <Q>.

<P>
VASP calculation (PBE) on a geometry-optimized GdScRh structure.

As for the total magnetization: 7.58 μB/f.u.

Cell and atoms, written as CIF:
```
data_GdScRh
_chemical_formula_sum 'Gd2 Sc2 Rh2'
_space_group_name_H-M_alt 'I 4 m m'
_space_group_IT_number 107
_space_group_name_Hall 'I 4 -2'
_cell_length_a 3.3451
_cell_length_b 3.3451
_cell_length_c 12.1138
_cell_angle_alpha 90.00
_cell_angle_beta 90.00
_cell_angle_gamma 90.00
loop_
_atom_site_label
_atom_site_fract_x
_atom_site_fract_y
_atom_site_fract_z
Gd1 0.0000 0.0000 0.0000
Sc1 0.0000 0.0000 0.2708
Rh1 0.0000 0.0000 0.6550
```

<Q>
VASP calculation (PBE) on a geometry-optimized GdScRh structure.

As for the total magnetization: 7.44 μB/f.u.

Cell and atoms, written as CIF:
```
data_GdScRh
_chemical_formula_sum 'Gd4 Sc4 Rh4'
_space_group_name_H-M_alt 'F -4 3 m'
_space_group_IT_number 216
_space_group_name_Hall 'F -4 2 3'
_cell_length_a 6.6326
_cell_length_b 6.6326
_cell_length_c 6.6326
_cell_angle_alpha 90.00
_cell_angle_beta 90.00
_cell_angle_gamma 90.00
loop_
_atom_site_label
_atom_site_fract_x
_atom_site_fract_y
_atom_site_fract_z
Gd1 0.0000 0.0000 0.0000
Sc1 0.0000 0.0000 0.5000
Rh1 0.2500 0.2500 0.2500
```

The structure with the least stability is <Q>.

<P>
VASP calculation (PBE) on a geometry-optimized GdThRh2 structure.

As for the total magnetization: 7.12 μB/f.u.

Cell and atoms, written as CIF:
```
data_GdThRh2
_chemical_formula_sum 'Gd3 Th3 Rh6'
_space_group_name_H-M_alt 'R -3 m'
_space_group_IT_number 166
_space_group_name_Hall '-R 3 2"'
_cell_length_a 4.0448
_cell_length_b 4.0448
_cell_length_c 20.0563
_cell_angle_alpha 90.00
_cell_angle_beta 90.00
_cell_angle_gamma 120.00
loop_
_atom_site_label
_atom_site_fract_x
_atom_site_fract_y
_atom_site_fract_z
Gd1 0.0000 0.0000 0.0000
Th1 0.0000 0.0000 0.5000
Rh1 0.0000 0.0000 0.2479
```

<Q>
VASP calculation (PBE) on a geometry-optimized GdThRh2 structure.

As for the total magnetization: 7.08 μB/f.u.

Cell and atoms, written as CIF:
```
data_GdThRh2
_chemical_formula_sum 'Gd1 Th1 Rh2'
_space_group_name_H-M_alt 'P 4/m m m'
_space_group_IT_number 123
_space_group_name_Hall '-P 4 2'
_cell_length_a 4.9604
_cell_length_b 4.9604
_cell_length_c 3.5370
_cell_angle_alpha 90.00
_cell_angle_beta 90.00
_cell_angle_gamma 90.00
loop_
_atom_site_label
_atom_site_fract_x
_atom_site_fract_y
_atom_site_fract_z
Gd1 0.0000 0.0000 0.0000
Th1 0.5000 0.5000 0.0000
Rh1 0.0000 0.5000 0.5000
```

The structure with the least stability is <P>.